The following is a GGA-PBE calculation of crystalline HoEr2InRh4 at its relaxed geometry, from the Alexandria database.

M_tot ... 0.000 μB per formula unit
Crystal system ... trigonal
Total energy ... -52.65 eV/cell
Energy of formation ... -82.0 kJ/mol of atoms
Space-group type ... R-3m

abc: 4.752 4.752 8.190
angles: 73.14 73.14 60.00
Atoms (fractional coordinates):
Er: 0.245 0.245 0.264
Er: 0.755 0.755 0.736
Ho: 0.000 0.000 0.000
In: 0.500 0.500 0.500
Rh: 0.376 0.376 0.873
Rh: 0.124 0.124 0.629
Rh: 0.876 0.876 0.371
Rh: 0.624 0.624 0.127

The following is a GGA-PBE calculation of crystalline Ho2ErInRh4 at its relaxed geometry, from the Alexandria database.

M_tot ... 0.000 μB per formula unit
Crystal system ... trigonal
Total energy ... -52.61 eV/cell
Energy of formation ... -81.4 kJ/mol of atoms
Space-group type ... R-3m

abc: 4.758 4.758 8.200
angles: 73.14 73.14 60.00
Atoms (fractional coordinates):
Ho: 0.246 0.246 0.263
Ho: 0.754 0.754 0.737
Rh: 0.625 0.625 0.125
Rh: 0.876 0.876 0.371
Rh: 0.375 0.375 0.875
Rh: 0.124 0.124 0.629
In: 0.500 0.500 0.500
Er: 0.000 0.000 0.000

The following is a GGA-PBE calculation of crystalline HoErInRu at its relaxed geometry, from the Alexandria database.

M_tot ... 0.000 μB per formula unit
Crystal system ... cubic
Total energy ... -22.58 eV/cell
Energy of formation ... -34.3 kJ/mol of atoms
Energy relative to the lowest polymorph listed for this composition ... 136 meV per atom
Space-group type ... F-43m

abc: 5.027 5.027 5.027
angles: 60.00 60.00 60.00
Atoms (fractional coordinates):
Ho: 0.000 0.000 0.000
In: 0.750 0.750 0.750
Er: 0.500 0.500 0.500
Ru: 0.250 0.250 0.250

The following is a GGA-PBE calculation of crystalline HoErInRu at its relaxed geometry, from the Alexandria database.

M_tot ... 0.000 μB per formula unit
Crystal system ... tetragonal
Total energy ... -23.12 eV/cell
Energy of formation ... -47.4 kJ/mol of atoms
Energy relative to the lowest polymorph listed for this composition ... 0 meV per atom
Space-group type ... P4mm

abc: 3.436 3.436 7.761
angles: 90.00 90.00 90.00
Atoms (fractional coordinates):
Ho: 0.500 0.500 0.783
In: 0.000 0.000 0.072
Ru: 0.000 0.000 0.570
Er: 0.500 0.500 0.360

Look up the M_tot of the fourth one.
0.000 μB per formula unit